1.
{"formula": "KNaTe2I", "functional": "PBE-GGA", "state": "relaxed", "e_form_raw_kj_per_mol_fu": -145.5, "relative_energy_mev_per_atom": 0, "m_tot_mub_per_cell": 1.0, "cell": [[-0.674, 2.980, -4.737], [-5.596, -0.442, 0.518], [-0.111, 5.460, 3.451]], "species": ["I", "Na", "K", "Te", "Te"], "frac_coords": [[0.000, 0.000, 0.500], [0.000, 0.000, 0.000], [0.500, 0.500, 0.500], [0.000, 0.500, 0.000], [0.500, 0.000, 0.000]]}

---

2.
{"formula": "SiTc2Pb", "functional": "PBE-GGA", "state": "relaxed", "e_form_raw_kj_per_mol_fu": 97.2, "relative_energy_mev_per_atom": 79, "m_tot_mub_per_cell": 0.0, "cell": [[-3.069, 2.038, 2.306], [-1.601, -0.087, 4.040], [2.823, 4.095, 2.630]], "species": ["Pb", "Si", "Tc", "Tc"], "frac_coords": [[0.750, 0.750, 0.750], [0.250, 0.250, 0.250], [0.982, 0.982, 0.060], [0.518, 0.518, 0.440]]}